No. 1
The following is a DFT calculation (PBE-GGA) of a geometry-optimized Mg8C structure.

```
Mg8C
1.0
-5.506 5.506 1.566
5.506 -5.506 1.566
5.506 5.506 -1.566
Mg C
8 1
Cartesian
3.670 0.000 0.000
7.341 0.000 0.000
0.000 3.670 0.000
4.113 4.113 0.000
1.393 -1.393 1.566
-1.393 1.393 1.566
1.393 1.393 1.566
0.000 7.341 0.000
0.000 0.000 0.000
```

Calculated values
D(E_F) in states/eV per cell: 2.95
Raw total energy in eV/atom: -2.067
Energy of formation in eV/atom: 0.375
Space group: No. 139



No. 2
The following is a DFT calculation (PBE-GGA) of a geometry-optimized Mg4C3 structure.

```
Mg4C3
1.0
4.582 0.000 0.000
0.000 4.582 0.000
0.000 0.000 4.582
Mg C
4 3
Cartesian
0.000 0.000 0.000
0.000 2.291 2.291
2.291 0.000 2.291
2.291 2.291 0.000
0.000 0.000 2.291
0.000 2.291 0.000
2.291 0.000 0.000
```

Calculated values
Relative energy among the computed polymorphs in meV/atom: 80
D(E_F) in states/eV per cell: 3.99
Raw total energy in eV/atom: -3.926
Energy of formation in eV/atom: 0.939
Space group: No. 221



No. 3
The following is a DFT calculation (PBE-GGA) of a geometry-optimized MgC structure.

```
MgC
1.0
5.884 0.000 0.000
0.000 5.884 0.000
0.000 0.000 3.498
Mg C
4 4
Cartesian
1.425 1.425 0.000
1.517 4.367 1.749
4.367 1.517 1.749
4.459 4.459 0.000
0.482 0.482 1.749
2.460 3.424 0.000
3.424 2.460 0.000
5.402 5.402 1.749
```

Calculated values
Relative energy among the computed polymorphs in meV/atom: 136
D(E_F) in states/eV per cell: 1.47
Raw total energy in eV/atom: -4.973
Energy of formation in eV/atom: 0.436
Space group: No. 136



No. 4
The following is a DFT calculation (PBE-GGA) of a geometry-optimized MgC2 structure.

```
MgC2
1.0
1.295 -7.312 0.000
1.295 7.312 0.000
0.000 0.000 2.768
Mg C
2 4
Cartesian
1.295 5.363 0.000
1.295 -5.363 0.000
0.000 0.000 1.384
1.295 3.300 1.384
1.295 0.000 0.000
1.295 -3.300 1.384
```

Calculated values
Relative energy among the computed polymorphs in meV/atom: 740
D(E_F) in states/eV per cell: 1.70
Raw total energy in eV/atom: -5.511
Energy of formation in eV/atom: 1.170
Space group: No. 65